This record from the Alexandria database describes UCo5B after structural relaxation. The functional is PBE.

DFT total energy = -7.75 eV per atom
space group = P4/mmm
formation enthalpy at 0 K = -0.11 eV per atom

Unit cell a=3.6422 b=3.6422 c=6.1414 alpha=90.00 beta=90.00 gamma=90.00
Last column: nearest neighbours and their distance in Å.
Atoms (fractional coordinates):
1 U 0.0000 0.0000 0.0000  12 Co 2.58-2.63
2 Co 0.0000 0.5000 0.3090  2 B 2.17, 1 Co 2.35
3 Co 0.0000 0.5000 0.6910  2 B 2.17, 1 Co 2.35
4 Co 0.5000 0.0000 0.3090  2 B 2.17, 1 Co 2.35
5 Co 0.5000 0.0000 0.6910  2 B 2.17, 1 Co 2.35
6 Co 0.5000 0.5000 0.0000  4 U 2.58, 8 Co 2.63
7 B 0.5000 0.5000 0.5000  8 Co 2.17



This record from the Alexandria database describes UCo12B6 after structural relaxation. The functional is PBE.

DFT total energy = -7.49 eV per atom
space group = R-3m
formation enthalpy at 0 K = -0.30 eV per atom

Unit cell a=5.9506 b=5.9506 c=5.9506 alpha=104.33 beta=104.33 gamma=104.33
Last column: nearest neighbours and their distance in Å.
Atoms (fractional coordinates):
1 U 0.0000 0.0000 0.0000  18 Co 3.01-3.23, 6 B 3.03
2 Co 0.1326 0.5000 0.8674  4 B 2.02-2.03
3 Co 0.1326 0.8674 0.5000  4 B 2.02-2.03
4 Co 0.1847 0.4497 0.4497  3 B 2.11-2.13
5 Co 0.4497 0.1847 0.4497  3 B 2.11-2.13
6 Co 0.4497 0.4497 0.1847  3 B 2.11-2.13
7 Co 0.5000 0.1326 0.8674  4 B 2.02-2.03
8 Co 0.5000 0.8674 0.1326  4 B 2.02-2.03
9 Co 0.5503 0.5503 0.8153  3 B 2.11-2.13
10 Co 0.5503 0.8153 0.5503  3 B 2.11-2.13
11 Co 0.8153 0.5503 0.5503  3 B 2.11-2.13
12 Co 0.8674 0.1326 0.5000  4 B 2.02-2.03
13 Co 0.8674 0.5000 0.1326  4 B 2.02-2.03
14 B 0.2325 0.2325 0.6780  7 Co 2.02-2.13
15 B 0.2325 0.6780 0.2325  7 Co 2.02-2.13
16 B 0.3220 0.7675 0.7675  7 Co 2.02-2.13
17 B 0.6780 0.2325 0.2325  7 Co 2.02-2.13
18 B 0.7675 0.3220 0.7675  7 Co 2.02-2.13
19 B 0.7675 0.7675 0.3220  7 Co 2.02-2.13



This record from the Alexandria database describes UCo7B2 after structural relaxation. The functional is PBE.

DFT total energy = -7.39 eV per atom
space group = Cmmm
formation enthalpy at 0 K = 0.04 eV per atom

Unit cell a=5.8246 b=5.8246 c=3.8684 alpha=90.00 beta=90.00 gamma=114.50
Last column: nearest neighbours and their distance in Å.
Atoms (fractional coordinates):
1 U 0.0000 0.0000 0.0000  10 Co 2.63-2.87
2 Co 0.0576 0.3242 0.5000  2 B 2.02-2.06
3 Co 0.2934 0.7066 0.0000  2 B 1.94
4 Co 0.3242 0.0576 0.5000  2 B 2.02-2.06
5 Co 0.5000 0.5000 0.5000  2 B 1.97
6 Co 0.6758 0.9424 0.5000  2 B 2.02-2.06
7 Co 0.7066 0.2934 0.0000  2 B 1.94
8 Co 0.9424 0.6758 0.5000  2 B 2.02-2.06
9 B 0.2993 0.7007 0.5000  7 Co 1.94-2.06
10 B 0.7007 0.2993 0.5000  7 Co 1.94-2.06



This record from the Alexandria database describes UCoB after structural relaxation. The functional is PBE.

DFT total energy = -8.35 eV per atom
E above lowest polymorph = 271 meV per atom
space group = C2/m
formation enthalpy at 0 K = 0.01 eV per atom

Unit cell a=3.5678 b=3.5678 c=8.1723 alpha=94.44 beta=94.44 gamma=49.72
Last column: nearest neighbours and their distance in Å.
Atoms (fractional coordinates):
1 U 0.1570 0.1570 0.1153  2 Co 2.59, 3 U 2.65-2.76, 1 B 2.65
2 U 0.8430 0.8430 0.8847  2 Co 2.59, 3 U 2.65-2.76, 1 B 2.65
3 Co 0.4471 0.4471 0.6466  4 B 2.02-2.09
4 Co 0.5529 0.5529 0.3534  4 B 2.02-2.09
5 B 0.2563 0.2563 0.4370  2 B 1.82, 1 Co 2.02
6 B 0.7437 0.7437 0.5630  2 B 1.82, 1 Co 2.02